[1]
MnCu2Ge: optimized geometry, PBE.

Results
Theoretical density = 7.33 g cm⁻³
Crystal system = tetragonal
Formation energy from the elements = 0.93 eV per formula unit
Space group = No. 122
Total moment = 5.65 μB per cell

Structure (POSCAR):
```
MnCu2Ge
1.0
-0.043 3.353 1.080
-3.261 0.370 -1.280
-5.165 -0.818 8.077
Cu Ge Mn
4 2 2
direct
0.625 0.125 0.250
0.875 0.875 0.750
0.375 0.375 0.750
0.125 0.625 0.250
0.000 0.000 0.000
0.750 0.250 0.500
0.500 0.500 0.000
0.250 0.750 0.500
```

---

[2]
Ac4In3Hg5: optimized geometry, PBE.

Results
Theoretical density = 9.39 g cm⁻³
Crystal system = monoclinic
Formation energy from the elements = -3.26 eV per formula unit
Space group = No. 12
Total moment = 0.00 μB per cell

Structure (POSCAR):
```
Ac4In3Hg5
1.0
5.311 0.000 0.000
2.655 8.763 -0.374
2.655 2.432 8.466
Ac Hg In
4 5 3
direct
0.973 0.844 0.210
0.027 0.156 0.790
0.269 0.713 0.748
0.731 0.287 0.252
0.500 0.500 0.500
0.807 0.496 0.889
0.396 0.146 0.061
0.193 0.504 0.111
0.604 0.854 0.939
0.283 0.023 0.411
0.000 0.500 0.500
0.717 0.977 0.589
```

---

The following E values (in eV per atom) correspond, in order, to the records above: -5.262; -2.451.